Ba3TlMo2O9 | GGA+U | optimized geometry

CIF file:
```
data_Ba3TlMo2O9
_chemical_formula_sum 'Ba3 Tl1 Mo2 O9'
_cell_length_a 5.9299
_cell_length_b 5.9299
_cell_length_c 8.5954
_cell_angle_alpha 90.00
_cell_angle_beta 90.00
_cell_angle_gamma 120.00
_symmetry_space_group_name_H-M 'P -3 m 1'
_symmetry_Int_Tables_number 164
_symmetry_space_group_name_Hall '-P 3 2"'
loop_
_atom_site_label
_atom_site_fract_x
_atom_site_fract_y
_atom_site_fract_z
Ba1 0.0000 0.0000 0.0000
Ba2 0.3333 0.6667 0.7439
Tl1 0.0000 0.0000 0.5000
Mo1 0.3333 0.6667 0.1536
O1 0.0000 0.5000 0.0000
O2 0.1756 0.3511 0.2604
```

Computed properties:
For the total energy, the calculation gives -97.87 eV/cell.